Entry 1:
Here is a crystal of ZnH12C2S2N6O8 relaxed with PBEsol from Alexandria. Energies are from meta-GGA SCAN.

Cell: 9.5212 9.8130 9.5212 Å, 119.02 90.00 119.02°
Last column: nearest neighbours and their distance in Å.
Sites, in units of the cell vectors:
Zn1 0.2500 0.5000 0.7500  4 O 1.93
Zn2 0.0000 0.0000 0.0000  4 O 1.93
H1 0.4870 0.3539 0.4771  1 N 1.02
H2 0.7630 0.1461 0.8733  1 N 1.02
H3 0.8668 0.3539 0.8767  1 N 1.02
H4 0.3832 0.1461 0.2729  1 N 1.02
H5 0.5229 0.6461 0.1332  1 N 1.02
H6 0.7271 0.8539 0.2370  1 N 1.02
H7 0.1233 0.6461 0.5130  1 N 1.02
H8 0.1267 0.8539 0.6168  1 N 1.02
H9 0.8767 0.3929 0.5078  1 N 1.02
H10 0.3733 0.1071 0.8649  1 N 1.02
H11 0.5162 0.3929 0.8851  1 N 1.02
H12 0.7338 0.1071 0.2422  1 N 1.02
H13 0.4922 0.6071 0.4838  1 N 1.02
H14 0.7578 0.8929 0.6267  1 N 1.02
H15 0.1149 0.6071 0.1233  1 N 1.02
H16 0.1351 0.8929 0.2662  1 N 1.02
H17 0.7669 0.4991 0.6030  1 N 1.02
H18 0.4831 0.0009 0.8539  1 N 1.02
H19 0.7321 0.4991 0.8961  1 N 1.02
H20 0.5179 0.0009 0.1470  1 N 1.02
H21 0.3970 0.5009 0.2679  1 N 1.02
H22 0.8530 0.9991 0.5169  1 N 1.02
H23 0.1039 0.5009 0.2331  1 N 1.02
H24 0.1461 0.9991 0.4821  1 N 1.02
C1 0.6292 0.2500 0.3750  3 N 1.33
C2 0.6208 0.2500 0.8750  3 N 1.33
C3 0.6250 0.7500 0.3792  3 N 1.33
C4 0.1250 0.7500 0.3708  3 N 1.33
S1 0.6250 0.7500 0.8431  4 O 1.47-1.51
S2 0.1250 0.7500 0.9069  4 O 1.47-1.51
S3 0.1569 0.2500 0.8750  4 O 1.47-1.51
S4 0.0931 0.2500 0.3750  4 O 1.47-1.51
N1 0.4891 0.2500 0.3750  2 H 1.02
N2 0.7609 0.2500 0.8750  2 H 1.02
N3 0.6250 0.7500 0.2391  2 H 1.02
N4 0.1250 0.7500 0.5109  2 H 1.02
N5 0.7676 0.3885 0.5080  2 H 1.02
N6 0.4824 0.1115 0.8694  2 H 1.02
N7 0.6209 0.3885 0.8806  2 H 1.02
N8 0.6291 0.1115 0.2420  2 H 1.02
N9 0.4920 0.6115 0.3791  2 H 1.02
N10 0.7580 0.8885 0.5176  2 H 1.02
N11 0.1194 0.6115 0.2324  2 H 1.02
N12 0.1306 0.8885 0.3709  2 H 1.02
O1 0.4796 0.6325 0.8837  1 S 1.51
O2 0.7704 0.8675 0.0012  1 S 1.51
O3 0.1529 0.6325 0.7488  1 S 1.51
O4 0.0971 0.8675 0.8663  1 S 1.51
O5 0.1163 0.3675 0.8471  1 S 1.51
O6 0.1337 0.1325 0.2296  1 S 1.51
O7 0.2512 0.3675 0.5204  1 S 1.51
O8 0.9988 0.1325 0.9029  1 S 1.51
O9 0.5931 0.8683 0.8147  1 S 1.47
O10 0.6569 0.6317 0.6964  1 S 1.47
O11 0.2751 0.8683 0.0536  1 S 1.47
O12 0.9749 0.6317 0.9353  1 S 1.47
O13 0.1853 0.1317 0.7249  1 S 1.47
O14 0.0647 0.3683 0.3431  1 S 1.47
O15 0.9464 0.1317 0.4069  1 S 1.47
O16 0.3036 0.3683 0.0251  1 S 1.47

Properties
DOS(E_F): 0.00 states/eV/atom
Size of the total moment: 0.000 μB per atom
Space group: I-42d (122)



Entry 2:
Here is a crystal of Si5H15C4NO12 relaxed with PBEsol from Alexandria. Energies are from meta-GGA SCAN.

Cell: 8.6688 8.8724 9.3636 Å, 90.00 90.00 95.79°
Last column: nearest neighbours and their distance in Å.
Sites, in units of the cell vectors:
Si1 0.0487 0.2692 0.2495  4 O 1.61-1.64
Si2 0.9513 0.7308 0.7495  4 O 1.61-1.64
Si3 0.7917 0.2533 0.4850  4 O 1.61-1.63
Si4 0.2083 0.7467 0.9850  4 O 1.61-1.63
Si5 0.2242 0.7481 0.5147  4 O 1.60-1.64
Si6 0.7758 0.2519 0.0147  4 O 1.60-1.64
Si7 0.2308 0.9689 0.2546  4 O 1.61-1.63
Si8 0.7692 0.0311 0.7546  4 O 1.61-1.63
Si9 0.5324 0.1838 0.2579  4 O 1.60-1.64
Si10 0.4676 0.8162 0.7579  4 O 1.60-1.64
H1 0.1985 0.1871 0.5341  1 C 1.10
H2 0.8015 0.8129 0.0341  1 C 1.10
H3 0.1110 0.0775 0.6791  1 C 1.10
H4 0.8890 0.9225 0.1791  1 C 1.10
H5 0.3123 0.0652 0.6353  1 C 1.10
H6 0.6877 0.9348 0.1353  1 C 1.10
H7 0.4522 0.4411 0.7603  1 C 1.10
H8 0.5478 0.5589 0.2603  1 C 1.10
H9 0.4085 0.3807 0.5795  1 C 1.10
H10 0.5915 0.6193 0.0795  1 C 1.10
H11 0.5042 0.2600 0.6985  1 C 1.10
H12 0.4958 0.7400 0.1985  1 C 1.10
H13 0.1652 0.1590 0.9218  1 C 1.10
H14 0.8348 0.8410 0.4218  1 C 1.10
H15 0.3642 0.1261 0.8886  1 C 1.10
H16 0.6358 0.8739 0.3886  1 C 1.10
H17 0.3188 0.3079 0.9556  1 C 1.10
H18 0.6812 0.6921 0.4556  1 C 1.10
H19 0.1791 0.4641 0.8181  1 C 1.10
H20 0.8209 0.5359 0.3181  1 C 1.10
H21 0.0339 0.3174 0.7589  1 C 1.10
H22 0.9661 0.6826 0.2589  1 C 1.10
H23 0.1485 0.4296 0.6283  1 C 1.10
H24 0.8515 0.5704 0.1283  1 C 1.10
H25 0.7830 0.4834 0.6112  1 O 1.03
H26 0.2170 0.5166 0.1112  1 O 1.03
H27 0.7855 0.4739 0.8601  1 O 1.03
H28 0.2145 0.5261 0.3601  1 O 1.03
H29 0.3374 0.3577 0.2639  1 O 1.03
H30 0.6626 0.6423 0.7639  1 O 1.03
C1 0.2188 0.1400 0.6402  3 H 1.10
C2 0.7812 0.8600 0.1402  3 H 1.10
C3 0.4188 0.3431 0.6909  3 H 1.10
C4 0.5812 0.6569 0.1909  3 H 1.10
C5 0.2798 0.2107 0.8870  3 H 1.10
C6 0.7202 0.7893 0.3870  3 H 1.10
C7 0.1480 0.3783 0.7353  3 H 1.10
C8 0.8520 0.6217 0.2353  3 H 1.10
N1 0.2661 0.2676 0.7385  4 C 1.48-1.49
N2 0.7339 0.7324 0.2385  4 C 1.48-1.49
O1 0.1795 0.4110 0.2401  3 H 1.51-1.54, 1 Si 1.61
O2 0.8205 0.5890 0.7401  3 H 1.51-1.54, 1 Si 1.61
O3 0.1266 0.1088 0.2371  2 Si 1.62-1.64
O4 0.8734 0.8912 0.7371  2 Si 1.62-1.64
O5 0.7426 0.4182 0.5258  1 H 1.03
O6 0.2574 0.5818 0.0258  1 H 1.03
O7 0.2610 0.5923 0.4423  1 H 1.03
O8 0.7390 0.4077 0.9423  1 H 1.03
O9 0.8107 0.1474 0.6243  2 Si 1.61-1.63
O10 0.1893 0.8526 0.1243  2 Si 1.61-1.63
O11 0.1844 0.8803 0.4024  2 Si 1.62-1.64
O12 0.8156 0.1197 0.9024  2 Si 1.62-1.64
O13 0.4467 0.3312 0.2920  1 H 1.03
O14 0.5533 0.6688 0.7920  1 H 1.03
O15 0.6602 0.1647 0.3826  2 Si 1.63
O16 0.3398 0.8353 0.8826  2 Si 1.63
O17 0.3784 0.8122 0.6043  2 Si 1.63
O18 0.6216 0.1878 0.1043  2 Si 1.63
O19 0.9584 0.2655 0.4027  2 Si 1.63
O20 0.0416 0.7345 0.9027  2 Si 1.63
O21 0.0758 0.7262 0.6208  2 Si 1.62
O22 0.9242 0.2738 0.1208  2 Si 1.62
O23 0.4149 0.0266 0.2548  2 Si 1.63-1.64
O24 0.5851 0.9734 0.7548  2 Si 1.63-1.64

Properties
DOS(E_F): 0.00 states/eV/atom
Size of the total moment: 0.000 μB per atom
Space group: P2_1 (4)



| no. | ρ (g cm⁻³) | total DFT energy (no corrections) (eV per cell) |
| --- | --- | --- |
| 1 | 1.9 | -452.96 |
| 2 | 1.9 | -561.11 |